Record 1
Density functional theory data (PBE) for crystalline Pm6DyCd at its relaxed geometry.

a = 8.5847 Å, b = 9.6837 Å, c = 6.3624 Å
α = 90.00°, β = 98.63°, γ = 90.00°
Closest atoms and distances in Å follow each position.
Space group C2/m (No. 12)
One atom of each set of equivalent atoms:
Pm  0.1585  0.0000  0.2100 [4 per cell]  1 Cd 3.22, 7 Pm 3.34-3.61, 1 Dy 3.40
Pm  0.1636  0.1932  0.7264 [8 per cell]  5 Pm 3.34-3.71, 1 Cd 3.50, 1 Dy 3.66
Dy  0.0000  0.5000  0.0000 [2 per cell]  2 Cd 3.18, 2 Pm 3.40
Cd  0.0000  0.5000  0.5000 [2 per cell]  2 Dy 3.18, 6 Pm 3.22-3.50

Summary:
Energy of formation from the pure elements: 0.029 eV/atom
Magnetic moment: 0.000 μB per atom
Total energy: -67.58 eV/cell
Fermi-level density of states: 1.318 states/eV per atom
Energy relative to the lowest polymorph listed for this composition: 69 meV/atom

Record 2
Density functional theory data (PBE) for crystalline Sm3Dy2Ho7 at its relaxed geometry.

a = 6.3181 Å, b = 3.5132 Å, c = 17.4344 Å
α = 90.00°, β = 96.21°, γ = 90.00°
Closest atoms and distances in Å follow each position.
Space group P2/m (No. 10)
One atom of each set of equivalent atoms:
Sm  0.0000  0.0000  0.0000 [1 per cell]  2 Sm 3.51, 10 Ho 3.54-3.61
Sm  0.0481  0.5000  0.6586 [2 per cell]  2 Sm 3.51, 4 Dy 3.60-3.65, 7 Ho 3.60-3.69
Dy  0.4429  0.0000  0.3265 [2 per cell]  5 Ho 3.41-3.47, 2 Dy 3.51, 4 Sm 3.60-3.65
Ho  0.2285  0.5000  0.1656 [2 per cell]  2 Dy 3.46, 7 Ho 3.51-3.64, 3 Sm 3.55-3.69
Ho  0.2464  0.0000  0.5009 [2 per cell]  2 Ho 3.11-3.21, 2 Dy 3.41
Ho  0.2754  0.0000  0.8335 [2 per cell]  1 Dy 3.47, 8 Ho 3.51-3.64, 3 Sm 3.54-3.67
Ho  0.5000  0.5000  0.0000 [1 per cell]  8 Ho 3.51-3.55, 4 Sm 3.61

Summary:
Energy of formation from the pure elements: 0.084 eV/atom
Magnetic moment: 0.000 μB per atom
Total energy: -54.40 eV/cell
Fermi-level density of states: 1.455 states/eV per atom
Energy relative to the lowest polymorph listed for this composition: 0 meV/atom

Record 3
Density functional theory data (PBE) for crystalline Ho3RuPt2 at its relaxed geometry.

a = 4.8387 Å, b = 14.4886 Å, c = 6.9939 Å
α = 90.00°, β = 90.00°, γ = 90.00°
Closest atoms and distances in Å follow each position.
Space group Cmmm (No. 65)
One atom of each set of equivalent atoms:
Ho  0.0000  0.0000  0.2475 [4 per cell]  6 Pt 2.97-3.00, 2 Ru 2.98
Ho  0.0000  0.3309  0.2456 [8 per cell]  3 Ru 2.93-2.97, 5 Pt 2.99-3.03
Ru  0.0000  0.1670  0.0000 [4 per cell]  8 Ho 2.93-2.98
Pt  0.0000  0.1650  0.5000 [4 per cell]  8 Ho 2.97-3.00
Pt  0.0000  0.5000  0.0000 [2 per cell]  8 Ho 2.97-2.99
Pt  0.0000  0.5000  0.5000 [2 per cell]  8 Ho 3.00-3.03

Summary:
Energy of formation from the pure elements: -0.979 eV/atom
Magnetic moment: 0.000 μB per atom
Total energy: -163.85 eV/cell
Fermi-level density of states: 0.589 states/eV per atom

Record 4
Density functional theory data (PBE) for crystalline NaAg5Sb2 at its relaxed geometry.

a = 4.5962 Å, b = 8.1206 Å, c = 9.9830 Å
α = 90.00°, β = 90.00°, γ = 90.00°
Closest atoms and distances in Å follow each position.
Space group Immm (No. 71)
One atom of each set of equivalent atoms:
Na  0.0000  0.0000  0.0000 [2 per cell]  4 Sb 3.21
Ag  0.0000  0.1728  0.3505 [8 per cell]  3 Sb 2.76-2.97, 4 Ag 2.81-3.08
Ag  0.0000  0.5000  0.0000 [2 per cell]  2 Sb 2.74
Sb  0.0000  0.5000  0.2750 [4 per cell]  7 Ag 2.74-2.97

Summary:
Magnetic moment: 0.000 μB per atom
Total energy: -48.01 eV/cell
Uncorrected formation energy: -2.24 kJ per mole of atoms
Fermi-level density of states: 0.201 states/eV per atom

Record 5
Density functional theory data (PBE) for crystalline Sr2Hg2Sb at its relaxed geometry.

a = 8.3008 Å, b = 8.3008 Å, c = 4.6322 Å
α = 90.00°, β = 90.00°, γ = 90.00°
Closest atoms and distances in Å follow each position.
Space group P4/mbm (No. 127)
One atom of each set of equivalent atoms:
Sr  0.1802  0.3198  0.0000 [4 per cell]  6 Hg 3.26-3.46
Hg  0.1239  0.6239  0.5000 [4 per cell]  1 Hg 2.91
Sb  0.0000  0.0000  0.5000 [2 per cell]  4 Hg 3.29

Summary:
Magnetic moment: 0.000 μB per atom
Total energy: -21.93 eV/cell
Uncorrected formation energy: -55.52 kJ per mole of atoms
Fermi-level density of states: 0.406 states/eV per atom
Energy relative to the lowest polymorph listed for this composition: 53 meV/atom

Record 6
Density functional theory data (PBE) for crystalline PmCoSi at its relaxed geometry.

a = 5.9150 Å, b = 5.7571 Å, c = 7.3411 Å
α = 90.00°, β = 116.18°, γ = 90.00°
Closest atoms and distances in Å follow each position.
Space group P2_1/c (No. 14)
One atom of each set of equivalent atoms:
Pm  0.1996  0.1475  0.3849 [4 per cell]  4 Co 2.92-3.12, 6 Si 3.10-3.22
Co  0.3849  0.5898  0.3081 [4 per cell]  3 Si 2.23-2.29
Si  0.2687  0.6474  0.5601 [4 per cell]  3 Co 2.23-2.29

Summary:
Magnetic moment: 0.000 μB per atom
Total energy: -76.83 eV/cell
Uncorrected formation energy: -61.98 kJ per mole of atoms
Fermi-level density of states: 0.330 states/eV per atom
Energy relative to the lowest polymorph listed for this composition: 57 meV/atom

Record 7
Density functional theory data (PBE) for crystalline Si3SI at its relaxed geometry.

a = 4.8923 Å, b = 4.8923 Å, c = 4.8923 Å
α = 90.00°, β = 90.00°, γ = 90.00°
Closest atoms and distances in Å follow each position.
Space group Pm-3m (No. 221)
One atom of each set of equivalent atoms:
Si  0.0000  0.0000  0.5000 [3 per cell]  2 S 2.45
S  0.0000  0.0000  0.0000 [1 per cell]  6 Si 2.45
I  0.5000  0.5000  0.5000 [1 per cell]  12 Si 3.46

Summary:
Magnetic moment: 0.000 μB per atom
Total energy: -17.16 eV/cell
Uncorrected formation energy: 92.31 kJ per mole of atoms
Fermi-level density of states: 0.858 states/eV per atom
Energy relative to the lowest polymorph listed for this composition: 0 meV/atom

Record 8
Density functional theory data (PBE) for crystalline SnPtAu2 at its relaxed geometry.

a = 4.0154 Å, b = 4.0154 Å, c = 4.5985 Å
α = 90.00°, β = 90.00°, γ = 90.00°
Closest atoms and distances in Å follow each position.
Space group P4/mmm (No. 123)
One atom of each set of equivalent atoms:
Sn  0.0000  0.0000  0.0000 [1 per cell]  4 Pt 2.84, 8 Au 3.05
Pt  0.5000  0.5000  0.0000 [1 per cell]  4 Sn 2.84, 8 Au 3.05
Au  0.0000  0.5000  0.5000 [2 per cell]  4 Au 2.84, 4 Pt 3.05, 4 Sn 3.05

Summary:
Energy of formation from the pure elements: -0.073 eV/atom
Magnetic moment: 0.000 μB per atom
Total energy: -16.89 eV/cell
Fermi-level density of states: 0.618 states/eV per atom